1.
HfPRhO2 | PBE | relaxed

space-group type	P4/mmm

abc: 3.893 3.893 4.684
angles: 90.00 90.00 90.00
Fractional coordinates of all 5 atoms:
Hf1 0.000 0.000 0.000
P1 0.500 0.500 0.000
Rh1 0.500 0.500 0.500
O1 0.000 0.500 0.500
O2 0.500 0.000 0.500

---

2.
HfP2RuO | PBE | relaxed

space-group type	P4/mmm

abc: 5.068 5.068 3.848
angles: 90.00 90.00 90.00
Fractional coordinates of all 5 atoms:
Hf1 0.000 0.000 0.000
P1 0.000 0.500 0.000
P2 0.500 0.000 0.000
Ru1 0.500 0.500 0.500
O1 0.000 0.000 0.500

---

3.
HfPRuO2 | PBE | relaxed

space-group type	P4/mmm

abc: 3.931 3.931 5.543
angles: 90.00 90.00 90.00
Fractional coordinates of all 5 atoms:
Hf1 0.000 0.000 0.000
P1 0.000 0.000 0.500
Ru1 0.500 0.500 0.500
O1 0.000 0.500 0.000
O2 0.500 0.000 0.000

---

| no. | D(E_F) (states/eV per atom) | formation energy (no corrections) (eV per atom) | electronic total energy (eV/f.u.) |
| --- | --- | --- | --- |
| 1 | 0.8357 | -0.453 | -34.9 |
| 2 | 1.0750 | 0.047 | -34.8 |
| 3 | 0.9481 | -0.899 | -39.0 |